Entry from Alexandria via LeMat-Bulk: a geometry-optimized Pm4Sb2Se structure (PBE).

Values from the calculation:
Energy relative to the elements, uncorrected in eV per atom: -1.05
Electronic total energy in eV per atom: -5.4426
Theoretical density in g cm⁻³: 6.55

Structure (CIF):
```
data_Pm4Sb2Se
_symmetry_space_group_name_H-M 'C 1 2/m 1'
_symmetry_Int_Tables_number 12
_cell_length_a 16.025
_cell_length_b 4.308
_cell_length_c 7.440
_cell_angle_alpha 90.00
_cell_angle_beta 116.93
_cell_angle_gamma 90.00
loop_
_symmetry_equiv_pos_as_xyz
'x,y,z'
'-x,-y,-z'
'-x,y,-z'
'x,-y,z'
'x+1/2,y+1/2,z'
'-x+1/2,-y+1/2,-z'
'-x+1/2,y+1/2,-z'
'x+1/2,-y+1/2,z'
loop_
_atom_site_label
_atom_site_type_symbol
_atom_site_fract_x
_atom_site_fract_y
_atom_site_fract_z
Pm1 Pm 0.117 0.000 0.445
Pm2 Pm 0.122 0.500 0.966
Sb1 Sb 0.241 0.500 0.738
Se1 Se 0.000 0.000 0.000
```